The following is a PBE-GGA calculation of crystalline Ca2Pr4Dy at its relaxed geometry, from Alexandria via LeMat-Bulk.

Its total magnetic moment is 0.000 μB/atom. As for the energy of formation from the pure elements: 0.77 eV/f.u. Its space group is Immm.

```
7
Lattice="-1.8052 2.9824 11.9834 1.8052 -2.9824 11.9834 1.8052 2.9824 -11.9834" Properties=species:S:1:pos:R:3 pbc="T T T"
Ca 0.0000 0.0000 5.3011
Ca 0.0000 0.0000 18.6656
Pr 1.8052 0.0000 1.9075
Pr 1.8052 0.0000 8.8665
Pr 0.0000 2.9824 3.1169
Pr 0.0000 2.9824 10.0759
Dy 0.0000 0.0000 11.9834
```

=====

The following is a PBE-GGA calculation of crystalline LiPrMg2 at its relaxed geometry, from Alexandria via LeMat-Bulk.

Its total magnetic moment is 0.000 μB/atom. As for the energy of formation from the pure elements: 0.19 eV/f.u. Its space group is R3m.

```
4
Lattice="1.6970 0.9797 10.5715 -1.6970 0.9797 10.5715 0.0000 -1.9595 10.5715" Properties=species:S:1:pos:R:3 pbc="T T T"
Li 0.0000 0.0000 0.0000
Pr 0.0000 0.0000 26.4161
Mg 0.0000 0.0000 12.9525
Mg 0.0000 0.0000 18.7434
```

=====

The following is a PBE-GGA calculation of crystalline Hf2ZnTcH at its relaxed geometry, from Alexandria via LeMat-Bulk.

Its total magnetic moment is 0.000 μB/atom. The value obtained for the total energy is -7.26 eV/atom. Its space group is P4/mmm.

```
5
Lattice="4.4925 0.0000 0.0000 0.0000 4.4925 0.0000 0.0000 0.0000 3.6513" Properties=species:S:1:pos:R:3 pbc="T T T"
Hf 0.0000 2.2463 0.0000
Hf 2.2463 0.0000 0.0000
Zn 0.0000 0.0000 1.8256
Tc 2.2463 2.2463 1.8256
H 2.2463 2.2463 0.0000
```

=====

The following is a PBE-GGA calculation of crystalline CaGaBi2O8 at its relaxed geometry, from Alexandria via LeMat-Bulk.

Its total magnetic moment is 0.067 μB/atom. Its space group is Cmmm. The calculation puts the energy relative to the elements, uncorrected at -1.235 eV/atom.

```
12
Lattice="3.3943 -3.6175 0.0000 3.3943 3.6175 0.0000 0.0000 0.0000 6.7587" Properties=species:S:1:pos:R:3 pbc="T T T"
Ca 0.0000 0.0000 0.0000
Ga 0.0000 0.0000 3.3793
Bi 3.3943 0.0000 1.7210
Bi 3.3943 0.0000 5.0377
O 1.2963 0.0000 1.8921
O 1.2963 0.0000 4.8666
O 3.3943 1.4804 3.3793
O 3.3943 1.3223 0.0000
O 3.3943 -1.3223 0.0000
O 3.3943 -1.4804 3.3793
O 5.4923 0.0000 1.8921
O 5.4923 0.0000 4.8666
```